# Pm5Nd3Co2

An optimized crystal structure of Pm5Nd3Co2 (GGA-PBE, Alexandria).

Results
The space-group type is No. 72. The total energy comes out at -104.03 eV for the cell shown. For the formation energy, the calculation gives 0.03 eV/atom. The total magnetic moment comes out at 0.0 μB per cell.

Cell: 7.8954 9.9862 9.9862 Å, 63.13 66.71 66.71°
Sites, in units of the cell vectors:
1 Pm 0.2500 0.5000 0.5000
2 Pm 0.7500 0.5000 0.5000
3 Pm 0.5025 0.7476 0.7475
4 Pm 0.9975 0.2524 0.2525
5 Pm 0.4975 0.2524 0.2525
6 Pm 0.0025 0.7476 0.7475
7 Pm 0.1170 0.6254 0.1406
8 Pm 0.8830 0.3746 0.8594
9 Pm 0.6170 0.1406 0.6254
10 Pm 0.3830 0.8594 0.3746
11 Nd 0.2500 0.0000 0.0000
12 Nd 0.7500 0.0000 0.0000
13 Nd 0.3675 0.3926 0.8723
14 Nd 0.6325 0.6074 0.1277
15 Nd 0.8675 0.8723 0.3926
16 Nd 0.1325 0.1277 0.6074
17 Co 0.1317 0.8683 0.8683
18 Co 0.8683 0.1317 0.1317
19 Co 0.6317 0.8683 0.8683
20 Co 0.3683 0.1317 0.1317

---

# Na6CuO4

An optimized crystal structure of Na6CuO4 (GGA-PBE, Alexandria).

Results
The value obtained for the offset from the most stable computed form is 24 meV per atom. The space-group type is No. 137. The total energy comes out at -87.10 eV for the cell shown. The formation energy from raw total energies is -1.064 eV per atom. The total magnetic moment comes out at 2.1 μB per cell.

Cell: 7.5408 7.5408 5.3444 Å, 90.00 90.00 90.00°
Sites, in units of the cell vectors:
1 Na 0.2891 0.2891 0.5000
2 Na 0.2891 0.7109 0.5000
3 Na 0.5000 0.0000 0.3932
4 Na 0.5000 0.0000 0.8932
5 Na 0.7109 0.2891 0.5000
6 Na 0.7109 0.7109 0.5000
7 Na 0.7891 0.7891 0.0000
8 Na 0.7891 0.2109 0.0000
9 Na 0.0000 0.5000 0.1068
10 Na 0.0000 0.5000 0.6068
11 Na 0.2109 0.7891 0.0000
12 Na 0.2109 0.2109 0.0000
13 Cu 0.5000 0.5000 0.0000
14 Cu 0.0000 0.0000 0.5000
15 O 0.2493 0.0000 0.6621
16 O 0.5000 0.7493 0.1621
17 O 0.5000 0.2507 0.1621
18 O 0.7507 0.0000 0.6621
19 O 0.7493 0.5000 0.8379
20 O 0.0000 0.7507 0.3379
21 O 0.0000 0.2493 0.3379
22 O 0.2507 0.5000 0.8379

---

# KSrSb2I

An optimized crystal structure of KSrSb2I (GGA-PBE, Alexandria).

Results
The value obtained for the offset from the most stable computed form is 0 meV per atom. The space-group type is No. 123. The total energy comes out at -13.58 eV for the cell shown. The formation energy from raw total energies is -0.200 eV per atom. The total magnetic moment comes out at 1.9 μB per cell.

Cell: 6.3166 6.3166 6.4690 Å, 90.00 90.00 90.00°
Sites, in units of the cell vectors:
1 I 0.0000 0.0000 0.5000
2 Sb 0.0000 0.5000 0.0000
3 Sb 0.5000 0.0000 0.0000
4 K 0.5000 0.5000 0.5000
5 Sr 0.0000 0.0000 0.0000

---

# NbZnAu2

An optimized crystal structure of NbZnAu2 (GGA-PBE, Alexandria).

Results
The space-group type is No. 123. The total energy comes out at -17.94 eV for the cell shown. For the formation energy, the calculation gives -0.01 eV/atom. The total magnetic moment comes out at 0.0 μB per cell.

Cell: 2.8659 4.9515 4.9515 Å, 90.00 90.00 90.00°
Sites, in units of the cell vectors:
1 Nb 0.5000 0.0000 0.0000
2 Au 0.0000 0.0000 0.5000
3 Au 0.0000 0.5000 0.0000
4 Zn 0.5000 0.5000 0.5000

---

# NaHoO2

An optimized crystal structure of NaHoO2 (GGA-PBE, Alexandria).

Results
The space-group type is No. 166. The total energy comes out at -27.10 eV for the cell shown. The formation energy from raw total energies is -2.822 eV per atom. The total magnetic moment comes out at 0.0 μB per cell.

Cell: 3.4077 3.4077 5.9123 Å, 73.25 73.25 60.00°
Sites, in units of the cell vectors:
1 Na 0.5000 0.5000 0.5000
2 Ho 0.0000 0.0000 0.0000
3 O 0.7367 0.7367 0.7898
4 O 0.2633 0.2633 0.2102

---

# Ca2Al3Tc

An optimized crystal structure of Ca2Al3Tc (GGA-PBE, Alexandria).

Results
The space-group type is No. 166. The total energy comes out at -27.25 eV for the cell shown. For the formation energy, the calculation gives -0.28 eV/atom. The total magnetic moment comes out at 0.0 μB per cell.

Cell: 5.6655 5.6655 5.4481 Å, 90.05 121.31 119.96°
Sites, in units of the cell vectors:
1 Ca 0.7453 0.3726 0.1179
2 Ca 0.2547 0.6274 0.8821
3 Al 0.5000 0.5000 0.5000
4 Al 0.0000 0.0000 0.5000
5 Al 0.5000 0.0000 0.5000
6 Tc 0.0000 0.0000 0.0000

---

# Mg3AgPt2

An optimized crystal structure of Mg3AgPt2 (GGA-PBE, Alexandria).

Results
The value obtained for the offset from the most stable computed form is 0 meV per atom. The space-group type is No. 65. The total energy comes out at -23.71 eV for the cell shown. For the formation energy, the calculation gives -0.67 eV/atom. The total magnetic moment comes out at 0.0 μB per cell.

Cell: 3.0409 4.6590 7.4456 Å, 108.23 90.00 90.00°
Sites, in units of the cell vectors:
1 Mg 0.5000 0.5000 0.0000
2 Mg 0.5000 0.8230 0.6460
3 Mg 0.5000 0.1770 0.3540
4 Ag 0.0000 0.0000 0.0000
5 Pt 0.0000 0.3406 0.6812
6 Pt 0.0000 0.6594 0.3188

---

# LiHoSb2

An optimized crystal structure of LiHoSb2 (GGA-PBE, Alexandria).

Results
The value obtained for the offset from the most stable computed form is 139 meV per atom. The space-group type is No. 123. The total energy comes out at -17.26 eV for the cell shown. The formation energy from raw total energies is -0.631 eV per atom. The total magnetic moment comes out at 0.0 μB per cell.

Cell: 4.1576 4.8514 4.8514 Å, 90.00 90.00 90.00°
Sites, in units of the cell vectors:
1 Sb 0.0000 0.0000 0.5000
2 Sb 0.0000 0.5000 0.0000
3 Ho 0.5000 0.0000 0.0000
4 Li 0.5000 0.5000 0.5000

---

# Ce2Ni3Ge4Rh

An optimized crystal structure of Ce2Ni3Ge4Rh (GGA-PBE, Alexandria).

Results
The space-group type is No. 115. The total energy comes out at -62.35 eV for the cell shown. For the formation energy, the calculation gives -0.73 eV/atom. The total magnetic moment comes out at 0.2 μB per cell.

Cell: 4.1491 4.1491 9.8120 Å, 90.00 90.00 90.00°
Sites, in units of the cell vectors:
1 Ce 0.5000 0.0000 0.2463
2 Ce 0.0000 0.5000 0.7537
3 Ni 0.0000 0.0000 0.5000
4 Ni 0.5000 0.0000 0.8775
5 Ni 0.0000 0.5000 0.1225
6 Ge 0.5000 0.5000 0.0000
7 Ge 0.0000 0.0000 0.0000
8 Ge 0.5000 0.0000 0.6380
9 Ge 0.0000 0.5000 0.3620
10 Rh 0.5000 0.5000 0.5000

---

# Cs3CdCu2Cl9

An optimized crystal structure of Cs3CdCu2Cl9 (GGA-PBE, Alexandria).

Results
The space-group type is No. 164. The total energy comes out at -46.31 eV for the cell shown. The formation energy from raw total energies is -1.202 eV per atom. The total magnetic moment comes out at 0.0 μB per cell.

Cell: 7.1940 7.1940 8.8374 Å, 90.00 90.00 120.00°
Sites, in units of the cell vectors:
1 Cs 0.3333 0.6667 0.6656
2 Cs 0.0000 0.0000 0.0000
3 Cs 0.6667 0.3333 0.3344
4 Cd 0.0000 0.0000 0.5000
5 Cu 0.3333 0.6667 0.1557
6 Cu 0.6667 0.3333 0.8443
7 Cl 0.8272 0.1728 0.6776
8 Cl 0.8272 0.6544 0.6776
9 Cl 0.3456 0.1728 0.6776
10 Cl 0.6544 0.8272 0.3224
11 Cl 0.1728 0.3456 0.3224
12 Cl 0.1728 0.8272 0.3224
13 Cl 0.5000 0.0000 0.0000
14 Cl 0.0000 0.5000 0.0000
15 Cl 0.5000 0.5000 0.0000

---

# CaMg2NbPd

An optimized crystal structure of CaMg2NbPd (GGA-PBE, Alexandria).

Results
The value obtained for the offset from the most stable computed form is 0 meV per atom. The space-group type is No. 123. The total energy comes out at -18.11 eV for the cell shown. For the formation energy, the calculation gives 0.47 eV/atom. The total magnetic moment comes out at 3.5 μB per cell.

Cell: 4.9945 5.2774 4.9945 Å, 90.00 90.00 90.00°
Sites, in units of the cell vectors:
1 Mg 0.0000 0.0000 0.5000
2 Mg 0.5000 0.0000 0.0000
3 Nb 0.5000 0.5000 0.5000
4 Ca 0.0000 0.5000 0.0000
5 Pd 0.0000 0.0000 0.0000

---

> The highest total magnetic moment belongs to which entry?

CaMg2NbPd

---

> Number 3 is which compound?

KSrSb2I

---

> The highest total magnetic moment belongs to which entry?

CaMg2NbPd